No. 1
VASP calculation (PBE) on crystalline Y4AlCuN2 at its relaxed geometry.

Computed properties:
* total moment: 0.018 μB/cell

Unit cell a=3.4983 b=3.4983 c=14.7346 alpha=90.00 beta=90.00 gamma=120.00
Fractional positions:
Al (0.0000, 0.0000, 0.0000)
Cu (0.6667, 0.3333, 0.5000)
N (0.3333, 0.6667, 0.2577)
N (0.3333, 0.6667, 0.7423)
Y (0.6667, 0.3333, 0.1702)
Y (0.0000, 0.0000, 0.3567)
Y (0.0000, 0.0000, 0.6433)
Y (0.6667, 0.3333, 0.8298)

=====

No. 2
VASP calculation (PBE) on crystalline Na4Al2CuPd at its relaxed geometry.

Unit cell a=4.7486 b=4.7486 c=6.7180 alpha=90.00 beta=90.00 gamma=90.00
Fractional positions:
Al (0.5000, 0.0000, 0.2600)
Al (0.0000, 0.5000, 0.7400)
Cu (0.0000, 0.0000, 0.0000)
Na (0.5000, 0.5000, 0.0000)
Na (0.0000, 0.5000, 0.2450)
Na (0.0000, 0.0000, 0.5000)
Na (0.5000, 0.0000, 0.7550)
Pd (0.5000, 0.5000, 0.5000)

=====

No. 3
VASP calculation (PBE) on crystalline Na2Sc2Al2CuPd at its relaxed geometry.

Computed properties:
* total moment: 0.005 μB/cell

Unit cell a=4.6323 b=4.6323 c=6.5802 alpha=90.00 beta=90.00 gamma=90.00
Fractional positions:
Al (0.0000, 0.5000, 0.2483)
Al (0.5000, 0.0000, 0.7517)
Cu (0.0000, 0.0000, 0.0000)
Na (0.5000, 0.5000, 0.0000)
Na (0.0000, 0.0000, 0.5000)
Pd (0.5000, 0.5000, 0.5000)
Sc (0.5000, 0.0000, 0.2465)
Sc (0.0000, 0.5000, 0.7535)

=====

No. 4
VASP calculation (PBE) on crystalline NaAl4CuS2 at its relaxed geometry.

Unit cell a=6.9431 b=6.9431 c=6.9431 alpha=128.91 beta=128.91 gamma=75.16
Fractional positions:
Al (0.9161, 0.3967, 0.1818)
Al (0.2657, 0.0839, 0.4806)
Al (0.6033, 0.7851, 0.5194)
Al (0.2149, 0.7343, 0.8182)
Cu (0.0000, 0.0000, 0.0000)
Na (0.7500, 0.2500, 0.5000)
S (0.5000, 0.5000, 0.0000)
S (0.2500, 0.7500, 0.5000)

=====

No. 5
VASP calculation (PBE) on crystalline NaAlCuTe3 at its relaxed geometry.

Unit cell a=8.3618 b=3.8713 c=10.2033 alpha=90.00 beta=106.57 gamma=90.00
Fractional positions:
Al (0.8202, 0.7500, 0.3558)
Al (0.1798, 0.2500, 0.6442)
Cu (0.5567, 0.2500, 0.0853)
Cu (0.4433, 0.7500, 0.9147)
Na (0.2594, 0.7500, 0.2021)
Na (0.7406, 0.2500, 0.7979)
Te (0.7602, 0.7500, 0.0623)
Te (0.5810, 0.2500, 0.3479)
Te (0.0652, 0.2500, 0.3589)
Te (0.9348, 0.7500, 0.6411)
Te (0.4190, 0.7500, 0.6521)
Te (0.2398, 0.2500, 0.9377)

=====

No. 6
VASP calculation (PBE) on crystalline NbAlCu at its relaxed geometry.

Computed properties:
* total moment: 0.003 μB/cell

Unit cell a=4.1410 b=4.1410 c=4.1410 alpha=60.00 beta=60.00 gamma=60.00
Fractional positions:
Al (0.2500, 0.2500, 0.2500)
Cu (0.0000, 0.0000, 0.0000)
Nb (0.7500, 0.7500, 0.7500)

=====

| no. | calculated total energy (eV for the cell shown) | mass density (g/cm³) |
| --- | --- | --- |
| 1 | -56.75 | 5.04 |
| 2 | -21.04 | 3.46 |
| 3 | -33.04 | 4.23 |
| 4 | -28.68 | 2.18 |
| 5 | -41.14 | 5.21 |
| 6 | -17.23 | 6.07 |